Record 1
# Li2Gd

A relaxed Li2Gd crystal (GGA-PBE, Alexandria).

a b c (Å): 5.8832 5.8832 5.8832
angles (deg): 60.00 60.00 60.00
With the nearest neighbours (Å) after each atom.
Atoms (fractional coordinates):
Li: 0.0000 0.0000 0.0000  6 Li 2.94
Li: 0.0000 0.0000 0.5000  6 Li 2.94
Li: 0.0000 0.5000 0.0000  6 Li 2.94
Li: 0.5000 0.0000 0.0000  6 Li 2.94
Gd: 0.3750 0.3750 0.3750  12 Li 3.45, 4 Gd 3.60
Gd: 0.6250 0.6250 0.6250  12 Li 3.45, 4 Gd 3.60

The calculation puts the volume at 24.0 A^3/atom. Its symmetry is Fd-3m. The total energy comes out at -35.11 eV per cell. The value obtained for the calculated formation energy is 0.118 eV per atom. The density of states at the Fermi level is 4.63 states/eV/f.u.

Record 2
# Li3CuF6

A relaxed Li3CuF6 crystal (GGA-PBE, Alexandria).

a b c (Å): 7.4424 7.4424 7.4424
angles (deg): 90.00 90.00 90.00
With the nearest neighbours (Å) after each atom.
Atoms (fractional coordinates):
Li: 0.0000 0.0000 0.0000  6 F 2.02
Li: 0.0000 0.5000 0.5000  6 F 2.02
Li: 0.2500 0.2500 0.2500  12 F 2.63
Li: 0.2500 0.2500 0.7500  4 F 1.99
Li: 0.2500 0.7500 0.2500  4 F 1.99
Li: 0.2500 0.7500 0.7500  4 F 1.99
Li: 0.5000 0.0000 0.5000  6 F 2.02
Li: 0.5000 0.5000 0.0000  6 F 2.02
Li: 0.7500 0.2500 0.2500  4 F 1.99
Li: 0.7500 0.2500 0.7500  4 F 1.99
Li: 0.7500 0.7500 0.2500  4 F 1.99
Li: 0.7500 0.7500 0.7500  12 F 2.63
Cu: 0.0000 0.0000 0.5000  6 F 1.92
Cu: 0.0000 0.5000 0.0000  6 F 1.92
Cu: 0.5000 0.0000 0.0000  6 F 1.92
Cu: 0.5000 0.5000 0.5000  6 F 1.92
F: 0.0538 0.5693 0.7573  1 Cu 1.92, 2 Li 1.99-2.02
F: 0.0538 0.9307 0.7427  1 Cu 1.92, 2 Li 1.99-2.02
F: 0.0693 0.2427 0.5538  1 Cu 1.92, 2 Li 1.99-2.02
F: 0.0693 0.2573 0.9462  1 Cu 1.92, 2 Li 1.99-2.02
F: 0.2427 0.5538 0.0693  1 Cu 1.92, 2 Li 1.99-2.02
F: 0.2427 0.9462 0.4307  1 Cu 1.92, 2 Li 1.99-2.02
F: 0.2573 0.5538 0.4307  1 Cu 1.92, 2 Li 1.99-2.02
F: 0.2573 0.9462 0.0693  1 Cu 1.92, 2 Li 1.99-2.02
F: 0.4307 0.2427 0.9462  1 Cu 1.92, 2 Li 1.99-2.02
F: 0.4307 0.2573 0.5538  1 Cu 1.92, 2 Li 1.99-2.02
F: 0.4462 0.5693 0.7427  1 Cu 1.92, 2 Li 1.99-2.02
F: 0.4462 0.9307 0.7573  1 Cu 1.92, 2 Li 1.99-2.02
F: 0.5538 0.0693 0.2427  1 Cu 1.92, 2 Li 1.99-2.02
F: 0.5538 0.4307 0.2573  1 Cu 1.92, 2 Li 1.99-2.02
F: 0.5693 0.7427 0.4462  1 Cu 1.92, 2 Li 1.99-2.02
F: 0.5693 0.7573 0.0538  1 Cu 1.92, 2 Li 1.99-2.02
F: 0.7427 0.0538 0.9307  1 Cu 1.92, 2 Li 1.99-2.02
F: 0.7427 0.4462 0.5693  1 Cu 1.92, 2 Li 1.99-2.02
F: 0.7573 0.0538 0.5693  1 Cu 1.92, 2 Li 1.99-2.02
F: 0.7573 0.4462 0.9307  1 Cu 1.92, 2 Li 1.99-2.02
F: 0.9307 0.7427 0.0538  1 Cu 1.92, 2 Li 1.99-2.02
F: 0.9307 0.7573 0.4462  1 Cu 1.92, 2 Li 1.99-2.02
F: 0.9462 0.0693 0.2573  1 Cu 1.92, 2 Li 1.99-2.02
F: 0.9462 0.4307 0.2427  1 Cu 1.92, 2 Li 1.99-2.02

The calculation puts the volume at 10.3 A^3/atom. Its symmetry is Pn-3. The total energy comes out at -175.95 eV per cell. The calculation puts the energy relative to the lowest polymorph listed for this composition at 0.527 eV per formula unit. Its formation energy without anion corrections is -2.292 eV/atom.

Record 3
# V3CrMo6

A relaxed V3CrMo6 crystal (GGA-PBE, Alexandria).

a b c (Å): 5.1545 5.1545 6.8575
angles (deg): 105.44 105.44 60.97
With the nearest neighbours (Å) after each atom.
Atoms (fractional coordinates):
V: 0.0000 0.0000 0.0000  6 Mo 2.62-2.76
V: 0.4054 0.4054 0.8061  1 Cr 2.49, 4 Mo 2.53-2.62, 1 V 2.67
V: 0.5946 0.5946 0.1939  1 Cr 2.49, 4 Mo 2.53-2.62, 1 V 2.67
Cr: 0.5000 0.5000 0.5000  2 V 2.49, 4 Mo 2.51
Mo: 0.0932 0.5795 0.1928  1 Cr 2.51, 3 V 2.53-2.62, 3 Mo 2.54-2.69
Mo: 0.1503 0.1503 0.4168  4 V 2.76-2.99, 6 Mo 2.88-3.05, 3 Cr 2.98-3.07
Mo: 0.4205 0.9068 0.8072  1 Cr 2.51, 3 V 2.53-2.62, 3 Mo 2.54-2.69
Mo: 0.5795 0.0932 0.1928  1 Cr 2.51, 3 V 2.53-2.62, 3 Mo 2.54-2.69
Mo: 0.8497 0.8497 0.5832  4 V 2.76-2.99, 6 Mo 2.88-3.05, 3 Cr 2.98-3.07
Mo: 0.9068 0.4205 0.8072  1 Cr 2.51, 3 V 2.53-2.62, 3 Mo 2.54-2.69

The calculation puts the volume at 15.2 A^3/atom. Its symmetry is C2/m. The total energy comes out at -99.85 eV per cell. The calculation puts the energy relative to the lowest polymorph listed for this composition at 1.671 eV per formula unit. The value obtained for the calculated formation energy is 0.212 eV per atom. The density of states at the Fermi level is 9.75 states/eV/f.u.

Record 4
# PrTm2Cd2In2

A relaxed PrTm2Cd2In2 crystal (GGA-PBE, Alexandria).

a b c (Å): 9.2478 9.2478 9.2478
angles (deg): 31.28 31.28 31.28
With the nearest neighbours (Å) after each atom.
Atoms (fractional coordinates):
Pr: 0.0000 0.0000 0.0000  6 In 3.45, 2 Tm 3.49, 6 Cd 3.71
Tm: 0.1322 0.1322 0.1322  3 Cd 3.10, 4 In 3.29-3.40, 3 Tm 3.40
Tm: 0.8678 0.8678 0.8678  3 Cd 3.10, 4 In 3.29-3.40, 3 Tm 3.40
Cd: 0.4222 0.4222 0.4222  3 In 2.91, 3 Tm 3.10
Cd: 0.5778 0.5778 0.5778  3 In 2.91, 3 Tm 3.10
In: 0.2614 0.2614 0.2614  3 Cd 2.91
In: 0.7386 0.7386 0.7386  3 Cd 2.91

The calculation puts the volume at 27.0 A^3/atom. Its symmetry is R-3m. The total energy comes out at -22.85 eV per cell. The value obtained for the calculated formation energy is -0.260 eV per atom. The density of states at the Fermi level is 3.99 states/eV/f.u.